Density functional theory data (GGA-PBE) for a relaxed HfSc2CrN crystal.

CIF file:
```
data_HfSc2CrN
_cell_length_a 4.708
_cell_length_b 4.708
_cell_length_c 4.656
_cell_angle_alpha 90.00
_cell_angle_beta 90.00
_cell_angle_gamma 90.00
_symmetry_space_group_name_H-M 'P 4/m m m'
_symmetry_Int_Tables_number 123
_symmetry_space_group_name_Hall '-P 4 2'
loop_
_atom_site_label
_atom_site_fract_x
_atom_site_fract_y
_atom_site_fract_z
_atom_site_occupancy
Hf1 0.000 0.000 0.000 1
Sc1 0.000 0.500 0.500 1
Cr1 0.000 0.000 0.500 1
N1 0.500 0.500 0.000 1
```

=====

Density functional theory data (GGA-PBE) for a relaxed Hf3Sc3CrN8 crystal.

CIF file:
```
data_Hf3Sc3CrN8
_cell_length_a 6.2958
_cell_length_b 6.2958
_cell_length_c 15.5134
_cell_angle_alpha 90.00
_cell_angle_beta 90.00
_cell_angle_gamma 120.00
_symmetry_space_group_name_H-M 'R -3 m'
_symmetry_Int_Tables_number 166
_symmetry_space_group_name_Hall '-R 3 2"'
loop_
_atom_site_label
_atom_site_fract_x
_atom_site_fract_y
_atom_site_fract_z
_atom_site_occupancy
Hf1 0.0000 0.5000 0.0000 1
Sc1 0.0000 0.5000 0.5000 1
Cr1 0.0000 0.0000 0.0000 1
N1 0.0000 0.0000 0.2513 1
N2 0.0157 0.5079 0.7431 1
```

=====

# HfCrSe2N (GGA-PBE, relaxed)
data_HfCrSe2N
_cell_length_a 4.952
_cell_length_b 4.952
_cell_length_c 3.535
_cell_angle_alpha 90.00
_cell_angle_beta 90.00
_cell_angle_gamma 90.00
_symmetry_space_group_name_H-M 'P 4/m m m'
_symmetry_Int_Tables_number 123
_symmetry_space_group_name_Hall '-P 4 2'
loop_
_atom_site_label
_atom_site_fract_x
_atom_site_fract_y
_atom_site_fract_z
_atom_site_occupancy
Hf1 0.000 0.000 0.000 1
Cr1 0.500 0.500 0.500 1
Se1 0.000 0.500 0.500 1
N1 0.500 0.500 0.000 1
# Energy relative to the lowest polymorph listed for this composition: 0.0000 eV per atom

=====

# HfCrSeN2 (GGA-PBE, relaxed)
data_HfCrSeN2
_cell_length_a 3.758
_cell_length_b 3.758
_cell_length_c 4.814
_cell_angle_alpha 90.00
_cell_angle_beta 90.00
_cell_angle_gamma 90.00
_symmetry_space_group_name_H-M 'P 4/m m m'
_symmetry_Int_Tables_number 123
_symmetry_space_group_name_Hall '-P 4 2'
loop_
_atom_site_label
_atom_site_fract_x
_atom_site_fract_y
_atom_site_fract_z
_atom_site_occupancy
Hf1 0.000 0.000 0.000 1
Cr1 0.500 0.500 0.500 1
Se1 0.500 0.500 0.000 1
N1 0.000 0.500 0.500 1
# Energy relative to the lowest polymorph listed for this composition: 0.0000 eV per atom

=====

# HfCrSe2N (GGA-PBE, relaxed)
data_HfCrSe2N
_cell_length_a 5.248
_cell_length_b 5.248
_cell_length_c 4.053
_cell_angle_alpha 90.00
_cell_angle_beta 90.00
_cell_angle_gamma 90.00
_symmetry_space_group_name_H-M 'P 4/m m m'
_symmetry_Int_Tables_number 123
_symmetry_space_group_name_Hall '-P 4 2'
loop_
_atom_site_label
_atom_site_fract_x
_atom_site_fract_y
_atom_site_fract_z
_atom_site_occupancy
Hf1 0.000 0.000 0.000 1
Cr1 0.500 0.500 0.500 1
Se1 0.000 0.500 0.000 1
N1 0.000 0.000 0.500 1
# Energy relative to the lowest polymorph listed for this composition: 0.1610 eV per atom

=====

# HfCrSeN2 (GGA-PBE, relaxed)
data_HfCrSeN2
_cell_length_a 4.053
_cell_length_b 4.053
_cell_length_c 5.547
_cell_angle_alpha 90.00
_cell_angle_beta 90.00
_cell_angle_gamma 90.00
_symmetry_space_group_name_H-M 'P 4/m m m'
_symmetry_Int_Tables_number 123
_symmetry_space_group_name_Hall '-P 4 2'
loop_
_atom_site_label
_atom_site_fract_x
_atom_site_fract_y
_atom_site_fract_z
_atom_site_occupancy
Hf1 0.000 0.000 0.000 1
Cr1 0.500 0.500 0.500 1
Se1 0.000 0.000 0.500 1
N1 0.000 0.500 0.000 1
# Energy relative to the lowest polymorph listed for this composition: 0.1339 eV per atom

=====

Density functional theory data (GGA-PBE) for a relaxed SmHf2CrN4 crystal.

CIF file:
```
data_SmHf2CrN4
_cell_length_a 3.238
_cell_length_b 11.091
_cell_length_c 11.030
_cell_angle_alpha 90.00
_cell_angle_beta 90.00
_cell_angle_gamma 90.00
_symmetry_space_group_name_H-M 'C m c m'
_symmetry_Int_Tables_number 63
_symmetry_space_group_name_Hall '-C 2c 2'
loop_
_atom_site_label
_atom_site_fract_x
_atom_site_fract_y
_atom_site_fract_z
_atom_site_occupancy
Sm1 0.000 0.101 0.250 1
Hf1 0.000 0.368 0.046 1
Cr1 0.000 0.161 0.750 1
N1 0.000 0.000 0.000 1
N2 0.000 0.265 0.615 1
N3 0.000 0.434 0.250 1
```

=====

Density functional theory data (GGA-PBE) for a relaxed Hf2CrTcN crystal.

CIF file:
```
data_Hf2CrTcN
_cell_length_a 4.526
_cell_length_b 4.526
_cell_length_c 3.625
_cell_angle_alpha 90.00
_cell_angle_beta 90.00
_cell_angle_gamma 90.00
_symmetry_space_group_name_H-M 'P 4/m m m'
_symmetry_Int_Tables_number 123
_symmetry_space_group_name_Hall '-P 4 2'
loop_
_atom_site_label
_atom_site_fract_x
_atom_site_fract_y
_atom_site_fract_z
_atom_site_occupancy
Hf1 0.000 0.500 0.000 1
Cr1 0.000 0.000 0.500 1
Tc1 0.500 0.500 0.500 1
N1 0.000 0.000 0.000 1
```

=====

| no. | uncorrected formation energy (eV per atom) | calculated total energy (eV/f.u.) | total magnetic moment (μB/atom) |
| --- | --- | --- | --- |
| 1 | 1.286 | -34.13 | 0.000 |
| 2 | -1.570 | -148.64 | 0.170 |
| 3 | -0.137 | -35.56 | 0.299 |
| 4 | 0.165 | -38.89 | 0.037 |
| 5 | 0.024 | -34.75 | 0.619 |
| 6 | 0.299 | -38.22 | 0.626 |
| 7 | -1.355 | -78.39 | 0.041 |
| 8 | -0.701 | -51.72 | 0.092 |